[1]
Crystalline BaSb2Mo at its relaxed geometry, computed with GGA-PBEsol.

As for the crystal system: orthorhombic. Its formation energy without anion corrections is 53 kJ/mol of formula units.

The space group is Pmm2 (No. 25) and the conventional cell measures 3.2335, 4.2851 and 8.1635 Å, with angles of 90.00, 90.00 and 90.00 degrees. Symmetry generates all atoms from Ba at (0.0000, 0.0000, 0.0000), Sb at (0.0000, 0.0000, 0.4134), Sb at (0.5000, 0.5000, 0.7340) and Mo at (0.5000, 0.5000, 0.3974).



[2]
Crystalline BaSb2Mo at its relaxed geometry, computed with GGA-PBEsol.

As for the crystal system: trigonal. Its formation energy without anion corrections is -54 kJ/mol of formula units.

The space group is R-3m (No. 166, hexagonal axes) and the conventional cell measures 4.2362, 4.2362 and 22.1197 Å, with angles of 90.00, 90.00 and 120.00 degrees. Symmetry generates all atoms from Ba at (0.0000, 0.0000, 0.0000), Sb at (0.0000, 0.0000, 0.2268) and Mo at (0.0000, 0.0000, 0.5000).



[3]
Crystalline Ba2SbMo at its relaxed geometry, computed with GGA-PBEsol.

As for the crystal system: tetragonal. Its formation energy without anion corrections is 214 kJ/mol of formula units.

The space group is P4/mmm (No. 123) and the conventional cell measures 3.3531, 3.3531 and 10.4266 Å, with angles of 90.00, 90.00 and 90.00 degrees. Symmetry generates all atoms from Ba at (0.0000, 0.0000, 0.2390), Sb at (0.5000, 0.5000, 0.5000) and Mo at (0.5000, 0.5000, 0.0000).



[4]
Crystalline BaSb2Mo at its relaxed geometry, computed with GGA-PBEsol.

As for the crystal system: tetragonal. Its formation energy without anion corrections is 167 kJ/mol of formula units.

The space group is P4/mmm (No. 123) and the conventional cell measures 5.6892, 5.6892 and 3.2869 Å, with angles of 90.00, 90.00 and 90.00 degrees. Symmetry generates all atoms from Ba at (0.0000, 0.0000, 0.0000), Sb at (0.0000, 0.5000, 0.5000) and Mo at (0.5000, 0.5000, 0.0000).



[5]
Crystalline BaSb2Mo at its relaxed geometry, computed with GGA-PBEsol.

As for the crystal system: cubic. Its formation energy without anion corrections is 89 kJ/mol of formula units.

The space group is Fm-3m (No. 225) and the conventional cell measures 7.3406, 7.3406 and 7.3406 Å, with angles of 90.00, 90.00 and 90.00 degrees. Symmetry generates all atoms from Ba at (0.0000, 0.0000, 0.0000), Sb at (0.2500, 0.2500, 0.2500) and Mo at (0.0000, 0.0000, 0.5000).



[6]
Crystalline BaSbMo2 at its relaxed geometry, computed with GGA-PBEsol.

As for the crystal system: tetragonal. Its formation energy without anion corrections is 90 kJ/mol of formula units.

The space group is P4mm (No. 99) and the conventional cell measures 3.3042, 3.3042 and 8.2739 Å, with angles of 90.00, 90.00 and 90.00 degrees. Symmetry generates all atoms from Ba at (0.0000, 0.0000, 0.0000), Sb at (0.5000, 0.5000, 0.6644), Mo at (0.0000, 0.0000, 0.4551) and Mo at (0.5000, 0.5000, 0.3054).



[7]
Crystalline Ba3ScMo at its relaxed geometry, computed with GGA-PBEsol.

As for the crystal system: cubic. The energy of formation is 1.005 eV per atom.

The space group is Pm-3m (No. 221) and the conventional cell measures 5.8526, 5.8526 and 5.8526 Å, with angles of 90.00, 90.00 and 90.00 degrees. Symmetry generates all atoms from Ba at (0.0000, 0.0000, 0.5000), Sc at (0.5000, 0.5000, 0.5000) and Mo at (0.0000, 0.0000, 0.0000).



[8]
Crystalline BaSc3Mo at its relaxed geometry, computed with GGA-PBEsol.

As for the crystal system: cubic. The energy of formation is 0.342 eV per atom.

The space group is Pm-3m (No. 221) and the conventional cell measures 5.1924, 5.1924 and 5.1924 Å, with angles of 90.00, 90.00 and 90.00 degrees. Symmetry generates all atoms from Ba at (0.0000, 0.0000, 0.0000), Sc at (0.0000, 0.5000, 0.5000) and Mo at (0.5000, 0.5000, 0.5000).



[9]
Crystalline BaSc2Mo at its relaxed geometry, computed with GGA-PBEsol.

As for the crystal system: cubic. The energy of formation is 0.790 eV per atom.

The space group is F-43m (No. 216) and the conventional cell measures 7.1964, 7.1964 and 7.1964 Å, with angles of 90.00, 90.00 and 90.00 degrees. Symmetry generates all atoms from Ba at (0.0000, 0.0000, 0.0000), Sc at (0.0000, 0.0000, 0.5000), Sc at (0.2500, 0.2500, 0.2500) and Mo at (0.2500, 0.2500, 0.7500).



[10]
Crystalline BaSc2Mo at its relaxed geometry, computed with GGA-PBEsol.

As for the crystal system: tetragonal. The energy of formation is 0.458 eV per atom.

The space group is P4mm (No. 99) and the conventional cell measures 3.6427, 3.6427 and 8.0416 Å, with angles of 90.00, 90.00 and 90.00 degrees. Symmetry generates all atoms from Ba at (0.0000, 0.0000, 0.0000), Sc at (0.0000, 0.0000, 0.4140), Sc at (0.5000, 0.5000, 0.6267) and Mo at (0.5000, 0.5000, 0.2932).



[11]
Crystalline BaSc2Mo at its relaxed geometry, computed with GGA-PBEsol.

As for the crystal system: orthorhombic. The energy of formation is 0.742 eV per atom.

The space group is Cmmm (No. 65) and the conventional cell measures 6.3110, 8.7503 and 3.2673 Å, with angles of 90.00, 90.00 and 90.00 degrees. Symmetry generates all atoms from Ba at (0.0000, 0.0000, 0.0000), Sc at (0.2500, 0.2500, 0.5000) and Mo at (0.0000, 0.5000, 0.0000).



[12]
Crystalline Ba2MoSe at its relaxed geometry, computed with GGA-PBEsol.

As for the crystal system: trigonal. Its formation energy without anion corrections is 66 kJ/mol of formula units.

The space group is R-3m (No. 166, hexagonal axes) and the conventional cell measures 4.4489, 4.4489 and 25.5254 Å, with angles of 90.00, 90.00 and 120.00 degrees. Symmetry generates all atoms from Ba at (0.0000, 0.0000, 0.2427), Mo at (0.0000, 0.0000, 0.0000) and Se at (0.0000, 0.0000, 0.5000).



[13]
Crystalline Ba2Mo15Se19 at its relaxed geometry, computed with GGA-PBEsol.

As for the crystal system: trigonal. Its formation energy without anion corrections is -2516 kJ/mol of formula units.

The space group is R-3c (No. 167, hexagonal axes) and the conventional cell measures 9.7243, 9.7243 and 57.3018 Å, with angles of 90.00, 90.00 and 120.00 degrees. Symmetry generates all atoms from Ba at (0.0000, 0.0000, 0.1155), Mo at (0.0000, 0.1583, 0.2500), Mo at (0.0111, 0.1611, 0.7107), Mo at (0.0209, 0.1669, 0.9806), Se at (0.0000, 0.0000, 0.0548), Se at (0.0000, 0.0000, 0.1755), Se at (0.0000, 0.3075, 0.7500), Se at (0.0069, 0.3821, 0.6836) and Se at (0.0145, 0.3732, 0.9528).



[14]
Crystalline BaMoSe at its relaxed geometry, computed with GGA-PBEsol.

As for the crystal system: tetragonal. Its formation energy without anion corrections is -27 kJ/mol of formula units.

The space group is I4mm (No. 107) and the conventional cell measures 3.3831, 3.3831 and 12.0593 Å, with angles of 90.00, 90.00 and 90.00 degrees. Symmetry generates all atoms from Ba at (0.0000, 0.0000, 0.0000), Mo at (0.0000, 0.0000, 0.2955) and Se at (0.0000, 0.0000, 0.7141).



[15]
Crystalline Ba2MoSe at its relaxed geometry, computed with GGA-PBEsol.

As for the crystal system: tetragonal. Its formation energy without anion corrections is 51 kJ/mol of formula units.

The space group is P4/mmm (No. 123) and the conventional cell measures 5.6226, 5.6226 and 3.8860 Å, with angles of 90.00, 90.00 and 90.00 degrees. Symmetry generates all atoms from Ba at (0.0000, 0.5000, 0.0000), Mo at (0.0000, 0.0000, 0.5000) and Se at (0.5000, 0.5000, 0.5000).



[16]
Crystalline Ba2MoSe at its relaxed geometry, computed with GGA-PBEsol.

As for the crystal system: orthorhombic. Its formation energy without anion corrections is -22 kJ/mol of formula units.

The space group is Amm2 (No. 38) and the conventional cell measures 4.4212, 4.8782 and 11.3764 Å, with angles of 90.00, 90.00 and 90.00 degrees. Symmetry generates all atoms from Ba at (0.0000, 0.0000, 0.0000), Ba at (0.5000, 0.0000, 0.2887), Mo at (0.0000, 0.0000, 0.6916) and Se at (0.5000, 0.0000, 0.5916).



[17]
Crystalline BaSi4Mo at its relaxed geometry, computed with GGA-PBEsol.

As for the crystal system: cubic. Its formation energy without anion corrections is 306 kJ/mol of formula units.

The space group is F-43m (No. 216) and the conventional cell measures 7.5202, 7.5202 and 7.5202 Å, with angles of 90.00, 90.00 and 90.00 degrees. Symmetry generates all atoms from Ba at (0.0000, 0.0000, 0.0000), Si at (0.1192, 0.1192, 0.6192) and Mo at (0.2500, 0.2500, 0.2500).



[18]
Crystalline BaSiMo at its relaxed geometry, computed with GGA-PBEsol.

As for the crystal system: trigonal. Its formation energy without anion corrections is 146 kJ/mol of formula units.

The space group is P3m1 (No. 156) and the conventional cell measures 3.6044, 3.6044 and 6.2719 Å, with angles of 90.00, 90.00 and 120.00 degrees. Symmetry generates all atoms from Ba at (0.0000, 0.0000, 0.0000), Si at (0.6667, 0.3333, 0.3876) and Mo at (0.3333, 0.6667, 0.5859).



[19]
Crystalline BaSr2Mo at its relaxed geometry, computed with GGA-PBEsol.

As for the crystal system: tetragonal. The energy of formation is 0.833 eV per atom.

The space group is P4mm (No. 99) and the conventional cell measures 3.8627, 3.8627 and 10.2158 Å, with angles of 90.00, 90.00 and 90.00 degrees. Symmetry generates all atoms from Ba at (0.0000, 0.0000, 0.0000), Sr at (0.0000, 0.0000, 0.3736), Sr at (0.5000, 0.5000, 0.6803) and Mo at (0.5000, 0.5000, 0.1924).



[20]
Crystalline Ba2SrMo at its relaxed geometry, computed with GGA-PBEsol.

As for the crystal system: monoclinic. The energy of formation is 1.083 eV per atom.

The space group is C2/m (No. 12) and the conventional cell measures 7.2819, 11.6984 and 3.7802 Å, with angles of 90.00, 109.00 and 90.00 degrees. Symmetry generates all atoms from Ba at (0.2500, 0.2500, 0.0000), Sr at (0.0000, 0.0000, 0.5000) and Mo at (0.0000, 0.5000, 0.5000).